(1)
Computed, not measured: a geometry-optimized Tb2Dy15Er2 structure at the PBE level of DFT.

a b c (Å): 8.6742 8.6742 8.6742
angles (deg): 79.34 79.34 79.34
With the nearest neighbours (Å) after each atom.
Fractional positions:
Dy  0.2979  0.7021  0.0000  6 Dy 3.27-3.38
Dy  0.0000  0.2979  0.7021  6 Dy 3.27-3.38
Dy  0.6278  0.6278  0.1496  6 Dy 3.25-3.32
Dy  0.0000  0.5000  0.0000  8 Dy 3.32-3.38, 2 Er 3.43
Dy  0.5000  0.0000  0.0000  8 Dy 3.32-3.38, 2 Er 3.43
Dy  0.2979  0.0000  0.7021  6 Dy 3.27-3.38
Dy  0.8504  0.3722  0.3722  6 Dy 3.25-3.32
Dy  0.6278  0.1496  0.6278  6 Dy 3.25-3.32
Dy  0.3722  0.3722  0.8504  6 Dy 3.25-3.32
Dy  0.0000  0.0000  0.5000  8 Dy 3.32-3.38, 2 Er 3.43
Dy  0.0000  0.7021  0.2979  6 Dy 3.27-3.38
Dy  0.7021  0.0000  0.2979  6 Dy 3.27-3.38
Dy  0.7021  0.2979  0.0000  6 Dy 3.27-3.38
Dy  0.1496  0.6278  0.6278  6 Dy 3.25-3.32
Dy  0.3722  0.8504  0.3722  6 Dy 3.25-3.32
Tb  0.6784  0.6784  0.6784  15 Dy 3.91-4.20, 1 Er 3.98
Tb  0.3216  0.3216  0.3216  15 Dy 3.91-4.20, 1 Er 3.98
Er  0.9046  0.9046  0.9046  1 Er 3.35, 9 Dy 3.43-3.70
Er  0.0954  0.0954  0.0954  1 Er 3.35, 9 Dy 3.43-3.70

Results
The space-group type is No. 166. The formation energy comes out at 5.46 eV per formula unit.


(2)
Computed, not measured: a geometry-optimized Tb4Dy7Er structure at the PBE level of DFT.

a b c (Å): 5.8623 11.4964 6.6658
angles (deg): 83.68 63.91 75.23
With the nearest neighbours (Å) after each atom.
Fractional positions:
Dy  0.5000  0.0000  0.0000  2 Er 2.93, 2 Dy 3.11
Dy  0.0642  0.6827  0.1890  4 Dy 3.26-3.57, 3 Tb 3.63-3.64
Dy  0.3680  0.4985  0.7654  2 Dy 3.18-3.26, 5 Tb 3.27-3.54
Dy  0.6320  0.5015  0.2346  2 Dy 3.18-3.26, 5 Tb 3.27-3.54
Dy  0.2118  0.0763  0.5002  4 Dy 3.11-3.39, 1 Er 3.11, 4 Tb 3.28-3.36
Dy  0.7882  0.9237  0.4998  4 Dy 3.11-3.39, 1 Er 3.11, 4 Tb 3.28-3.36
Dy  0.9358  0.3173  0.8110  4 Dy 3.26-3.57, 3 Tb 3.63-3.64
Er  0.0000  0.0000  0.0000  4 Dy 2.93-3.11
Tb  0.7634  0.6764  0.7968  5 Dy 3.27-3.64, 2 Tb 3.60
Tb  0.2366  0.3236  0.2032  5 Dy 3.27-3.64, 2 Tb 3.60
Tb  0.6394  0.2239  0.4973  7 Dy 3.34-3.63, 2 Tb 3.60
Tb  0.3606  0.7761  0.5027  7 Dy 3.34-3.63, 2 Tb 3.60

Results
The space-group type is No. 12. The formation energy comes out at 3.46 eV per formula unit. For the energy relative to the lowest polymorph listed for this composition, the calculation gives 0.199 eV per atom.


(3)
Computed, not measured: a geometry-optimized Tb2Dy5Er6 structure at the PBE level of DFT.

a b c (Å): 3.5407 11.5213 20.0538
angles (deg): 90.00 90.00 90.00
With the nearest neighbours (Å) after each atom.
Fractional positions:
Er  0.5000  0.8258  0.3654  2 Dy 3.30-3.36, 4 Er 3.44-3.54, 2 Tb 3.58
Er  0.0000  0.0821  0.3687  1 Tb 3.29, 6 Dy 3.31-3.49, 4 Er 3.44-3.54
Er  0.0000  0.4179  0.8687  1 Tb 3.29, 6 Dy 3.31-3.49, 4 Er 3.44-3.54
Er  0.0000  0.0592  0.0807  6 Dy 3.44-3.54, 5 Er 3.51-3.71, 1 Tb 3.69
Er  0.0000  0.5821  0.1313  1 Tb 3.29, 6 Dy 3.31-3.49, 4 Er 3.44-3.54
Er  0.0000  0.9408  0.9193  6 Dy 3.44-3.54, 5 Er 3.51-3.71, 1 Tb 3.69
Er  0.5000  0.3258  0.1346  2 Dy 3.30-3.36, 4 Er 3.44-3.54, 2 Tb 3.58
Er  0.0000  0.9179  0.6313  1 Tb 3.29, 6 Dy 3.31-3.49, 4 Er 3.44-3.54
Er  0.5000  0.1742  0.6346  2 Dy 3.30-3.36, 4 Er 3.44-3.54, 2 Tb 3.58
Er  0.5000  0.6742  0.8654  2 Dy 3.30-3.36, 4 Er 3.44-3.54, 2 Tb 3.58
Er  0.0000  0.5592  0.4193  6 Dy 3.44-3.54, 5 Er 3.51-3.71, 1 Tb 3.69
Er  0.0000  0.4408  0.5807  6 Dy 3.44-3.54, 5 Er 3.51-3.71, 1 Tb 3.69
Dy  0.5000  0.8012  0.0497  6 Er 3.49-3.54, 3 Dy 3.54-3.61, 2 Tb 3.70
Dy  0.5000  0.0000  0.5000  6 Er 3.31-3.36, 4 Dy 3.54-3.61
Dy  0.5000  0.1988  0.9503  6 Er 3.49-3.54, 3 Dy 3.54-3.61, 2 Tb 3.70
Dy  0.5000  0.4113  0.7265  5 Er 3.30-3.44, 4 Tb 3.46-3.55, 2 Dy 3.54
Dy  0.5000  0.6988  0.5497  6 Er 3.49-3.54, 3 Dy 3.54-3.61, 2 Tb 3.70
Dy  0.5000  0.9113  0.7735  5 Er 3.30-3.44, 4 Tb 3.46-3.55, 2 Dy 3.54
Dy  0.5000  0.5000  0.0000  6 Er 3.31-3.36, 4 Dy 3.54-3.61
Dy  0.5000  0.3012  0.4503  6 Er 3.49-3.54, 3 Dy 3.54-3.61, 2 Tb 3.70
Dy  0.5000  0.0887  0.2265  5 Er 3.30-3.44, 4 Tb 3.46-3.55, 2 Dy 3.54
Dy  0.5000  0.5887  0.2735  5 Er 3.30-3.44, 4 Tb 3.46-3.55, 2 Dy 3.54
Tb  0.0000  0.3319  0.2895  3 Er 3.29-3.58, 4 Dy 3.46-3.55, 2 Tb 3.54
Tb  0.0000  0.6681  0.7105  3 Er 3.29-3.58, 4 Dy 3.46-3.55, 2 Tb 3.54
Tb  0.0000  0.8319  0.2105  3 Er 3.29-3.58, 4 Dy 3.46-3.55, 2 Tb 3.54
Tb  0.0000  0.1681  0.7895  3 Er 3.29-3.58, 4 Dy 3.46-3.55, 2 Tb 3.54

Results
The space-group type is No. 55. The formation energy comes out at 1.28 eV per formula unit.


(4)
Computed, not measured: a geometry-optimized Tb9DyEr2 structure at the PBE level of DFT.

a b c (Å): 3.4846 11.1930 11.1930
angles (deg): 120.00 90.00 90.00
With the nearest neighbours (Å) after each atom.
Fractional positions:
Tb  0.5000  0.6479  0.8240  8 Tb 3.41-3.59, 2 Er 3.51
Tb  0.5000  0.3521  0.1760  8 Tb 3.41-3.59, 2 Er 3.51
Tb  0.0000  0.0000  0.5000  2 Er 3.23, 10 Tb 3.48-3.59
Tb  0.5000  0.1760  0.8240  8 Tb 3.41-3.59, 2 Er 3.51
Tb  0.5000  0.1760  0.3521  8 Tb 3.41-3.59, 2 Er 3.51
Tb  0.5000  0.8240  0.6479  8 Tb 3.41-3.59, 2 Er 3.51
Tb  0.5000  0.8240  0.1760  8 Tb 3.41-3.59, 2 Er 3.51
Tb  0.0000  0.5000  0.5000  2 Er 3.23, 10 Tb 3.48-3.59
Tb  0.0000  0.5000  0.0000  2 Er 3.23, 10 Tb 3.48-3.59
Er  0.0000  0.3333  0.6667  9 Tb 3.23-3.51, 2 Er 3.48
Er  0.0000  0.6667  0.3333  9 Tb 3.23-3.51, 2 Er 3.48
Dy  0.0000  0.0000  0.0000  2 Dy 3.48, 12 Tb 3.83

Results
The space-group type is No. 191. The formation energy comes out at 0.56 eV per formula unit. For the energy relative to the lowest polymorph listed for this composition, the calculation gives 0.027 eV per atom.


(5)
Computed, not measured: a geometry-optimized Tb4Dy19Er6 structure at the PBE level of DFT.

a b c (Å): 10.7238 10.7237 10.7239
angles (deg): 109.47 109.47 109.47
With the nearest neighbours (Å) after each atom.
Fractional positions:
Tb  0.6421  0.0000  0.0000  9 Dy 3.30-3.40
Tb  0.0000  0.0000  0.6421  9 Dy 3.30-3.40
Tb  0.3579  0.3579  0.3579  9 Dy 3.30-3.40
Tb  0.0000  0.6421  0.0000  9 Dy 3.30-3.40
Er  0.1268  0.6268  0.5000  1 Er 3.14, 4 Dy 3.17-3.34
Er  0.5000  0.1268  0.6268  1 Er 3.14, 4 Dy 3.17-3.34
Er  0.6268  0.5000  0.1268  1 Er 3.14, 4 Dy 3.17-3.34
Er  0.3732  0.5000  0.8732  1 Er 3.14, 4 Dy 3.17-3.34
Er  0.8732  0.3732  0.5000  1 Er 3.14, 4 Dy 3.17-3.34
Er  0.5000  0.8732  0.3732  1 Er 3.14, 4 Dy 3.17-3.34
Dy  0.2621  0.2621  0.0000  5 Dy 3.25-3.52, 2 Tb 3.30, 2 Er 3.34
Dy  0.6739  0.6598  0.4590  1 Er 3.17, 2 Tb 3.32-3.40, 2 Dy 3.36-3.52
Dy  0.9860  0.3261  0.7852  1 Er 3.17, 2 Tb 3.32-3.40, 2 Dy 3.36-3.52
Dy  0.3261  0.7852  0.9860  1 Er 3.17, 2 Tb 3.32-3.40, 2 Dy 3.36-3.52
Dy  0.7379  0.0000  0.7379  5 Dy 3.25-3.52, 2 Tb 3.30, 2 Er 3.34
Dy  0.5410  0.2008  0.2148  1 Er 3.17, 2 Tb 3.32-3.40, 2 Dy 3.36-3.52
Dy  0.2148  0.5410  0.2008  1 Er 3.17, 2 Tb 3.32-3.40, 2 Dy 3.36-3.52
Dy  0.6598  0.4590  0.6739  1 Er 3.17, 2 Tb 3.32-3.40, 2 Dy 3.36-3.52
Dy  0.2008  0.2148  0.5410  1 Er 3.17, 2 Tb 3.32-3.40, 2 Dy 3.36-3.52
Dy  0.0140  0.7992  0.3402  1 Er 3.17, 2 Tb 3.32-3.40, 2 Dy 3.36-3.52
Dy  0.4590  0.6739  0.6598  1 Er 3.17, 2 Tb 3.32-3.40, 2 Dy 3.36-3.52
Dy  0.7379  0.7379  0.0000  5 Dy 3.25-3.52, 2 Tb 3.30, 2 Er 3.34
Dy  0.0000  0.2621  0.2621  5 Dy 3.25-3.52, 2 Tb 3.30, 2 Er 3.34
Dy  0.0000  0.7379  0.7379  5 Dy 3.25-3.52, 2 Tb 3.30, 2 Er 3.34
Dy  0.7992  0.3402  0.0140  1 Er 3.17, 2 Tb 3.32-3.40, 2 Dy 3.36-3.52
Dy  0.0000  0.0000  0.0000  6 Dy 3.25
Dy  0.7852  0.9860  0.3261  1 Er 3.17, 2 Tb 3.32-3.40, 2 Dy 3.36-3.52
Dy  0.2621  0.0000  0.2621  5 Dy 3.25-3.52, 2 Tb 3.30, 2 Er 3.34
Dy  0.3402  0.0140  0.7992  1 Er 3.17, 2 Tb 3.32-3.40, 2 Dy 3.36-3.52

Results
The space-group type is No. 197. The formation energy comes out at 11.39 eV per formula unit.


(6)
Computed, not measured: a geometry-optimized Tb2Dy3Er8 structure at the PBE level of DFT.

a b c (Å): 5.5302 7.5303 10.7786
angles (deg): 110.47 90.00 90.00
With the nearest neighbours (Å) after each atom.
Fractional positions:
Er  0.5000  0.6038  0.7830  1 Dy 3.08, 3 Er 3.20-3.40, 2 Tb 3.43-3.45
Er  0.9999  0.3336  0.6676  2 Tb 3.34, 4 Er 3.40, 2 Dy 3.72-3.73
Er  0.5000  0.8210  0.2172  1 Dy 3.08, 3 Er 3.20-3.40, 2 Tb 3.43-3.44
Er  0.5000  0.3962  0.2170  1 Dy 3.08, 3 Er 3.20-3.40, 2 Tb 3.43-3.45
Er  0.0001  0.6664  0.3324  2 Tb 3.34, 4 Er 3.40, 2 Dy 3.72-3.73
Er  0.0000  0.8677  0.7352  2 Dy 3.43, 2 Tb 3.53, 6 Er 3.54-3.83
Er  0.0000  0.1323  0.2648  2 Dy 3.43, 2 Tb 3.53, 6 Er 3.54-3.83
Er  0.5000  0.1790  0.7829  1 Dy 3.08, 3 Er 3.20-3.40, 2 Tb 3.43-3.44
Tb  0.4999  0.2411  0.4825  8 Er 3.34-3.53
Tb  0.5001  0.7589  0.5175  8 Er 3.34-3.53
Dy  0.0000  0.7143  0.9999  3 Dy 3.23-3.50, 6 Er 3.43-3.53
Dy  0.0000  0.2857  0.0001  3 Dy 3.23-3.50, 6 Er 3.43-3.53
Dy  0.5000  0.0000  0.0000  4 Er 3.08

Results
The space-group type is No. 65. The formation energy comes out at 3.21 eV per formula unit. For the energy relative to the lowest polymorph listed for this composition, the calculation gives 0.226 eV per atom.


(7)
Computed, not measured: a geometry-optimized Tb3Dy3Er5 structure at the PBE level of DFT.

a b c (Å): 5.4564 9.5813 9.5813
angles (deg): 120.00 90.00 90.00
With the nearest neighbours (Å) after each atom.
Fractional positions:
Er  0.5000  0.6667  0.3333  3 Tb 3.04
Er  0.5000  0.2687  0.2687  3 Tb 3.17-3.47, 2 Dy 3.23, 2 Er 3.54
Er  0.5000  0.7313  0.0000  3 Tb 3.17-3.47, 2 Dy 3.23, 2 Er 3.54
Er  0.5000  0.3333  0.6667  3 Tb 3.04
Er  0.5000  0.0000  0.7313  3 Tb 3.17-3.47, 2 Dy 3.23, 2 Er 3.54
Tb  0.5000  0.3688  0.0000  4 Er 3.04-3.17, 2 Dy 3.24
Tb  0.5000  0.6312  0.6312  4 Er 3.04-3.17, 2 Dy 3.24
Tb  0.5000  0.0000  0.3688  4 Er 3.04-3.17, 2 Dy 3.24
Dy  0.0000  0.5508  0.0000  2 Er 3.23, 2 Tb 3.24
Dy  0.0000  0.4492  0.4492  2 Er 3.23, 2 Tb 3.24
Dy  0.0000  0.0000  0.5508  2 Er 3.23, 2 Tb 3.24

Results
The space-group type is No. 189. The formation energy comes out at 9.12 eV per formula unit.


(8)
Computed, not measured: a geometry-optimized TbDy3Er12 structure at the PBE level of DFT.

a b c (Å): 4.9618 4.9618 19.8392
angles (deg): 90.00 90.00 90.00
With the nearest neighbours (Å) after each atom.
Fractional positions:
Er  0.5000  0.5000  0.2502  8 Er 3.51, 4 Dy 3.51
Er  0.5000  0.5000  0.5000  8 Er 3.51, 4 Dy 3.51
Er  0.5000  0.0000  0.6249  8 Er 3.51, 4 Dy 3.51
Er  0.5000  0.0000  0.8748  2 Dy 3.51, 8 Er 3.51, 2 Tb 3.51
Er  0.5000  0.5000  0.7498  8 Er 3.51, 4 Dy 3.51
Er  0.0000  0.5000  0.3751  8 Er 3.51, 4 Dy 3.51
Er  0.0000  0.5000  0.6249  8 Er 3.51, 4 Dy 3.51
Er  0.5000  0.0000  0.3751  8 Er 3.51, 4 Dy 3.51
Er  0.5000  0.0000  0.1252  2 Dy 3.51, 8 Er 3.51, 2 Tb 3.51
Er  0.0000  0.5000  0.1252  2 Dy 3.51, 8 Er 3.51, 2 Tb 3.51
Er  0.5000  0.5000  0.0000  4 Tb 3.51, 8 Er 3.51
Er  0.0000  0.5000  0.8748  2 Dy 3.51, 8 Er 3.51, 2 Tb 3.51
Tb  0.0000  0.0000  0.0000  12 Er 3.51
Dy  0.0000  0.0000  0.5000  12 Er 3.51
Dy  0.0000  0.0000  0.7499  12 Er 3.51
Dy  0.0000  0.0000  0.2501  12 Er 3.51

Results
The space-group type is No. 123. The formation energy comes out at 0.34 eV per formula unit.